Mg2PtW | PBE-GGA | optimized geometry

Calculated values
**Total energy**: -5.537 eV per atom
**Volume**: 68 Å³/cell
**Symmetry**: Pm (6)
**Calculated density**: 10.47 g cm⁻³
**Formation energy from the elements**: 9 meV per atom
**Total magnetization**: 0.00 μB per formula unit
**ΔE to the lowest computed polymorph**: 0.152 eV per atom

Cell lengths 4.087, 2.837, 6.507 Å; angles 63.95, 90.00, 90.00 degrees
Positions (direct):
W: 0.500 0.769 0.732
Mg: 0.000 0.003 0.996
Pt: 0.000 0.484 0.517
Mg: 0.500 0.244 0.255